[1]
The following is a PBE calculation of PrHo2ErTm2 after structural relaxation, from Alexandria.

As for the total energy: -4.29 eV/atom. As for the crystal system: orthorhombic. As for the energy relative to the elements: 0.2834 eV/atom. For the mass density, the calculation gives 8.32 g/cm3.

The structure belongs to space group Pnnm (No. 58); the cell edges are 6.457, 17.754 and 3.399 Å and the angles 90.00°, 90.00° and 90.00°. The inequivalent atoms are Pr at (0.000, 0.000, 0.000), Ho at (0.218, 0.189, 0.000), Er at (0.000, 0.500, 0.000) and Tm at (0.215, 0.353, 0.500).

***

[2]
The following is a PBE calculation of Pr4Ho2ErTm2 after structural relaxation, from Alexandria.

As for the total energy: -4.62 eV/atom. As for the crystal system: monoclinic. As for the energy relative to the elements: 0.0269 eV/atom. For the mass density, the calculation gives 7.82 g/cm3.

The structure belongs to space group C2/m (No. 12); the cell edges are 15.301, 5.088 and 8.039 Å and the angles 90.00°, 108.43° and 90.00°. The inequivalent atoms are Pr at (0.053, 0.000, 0.330), Pr at (0.223, 0.500, 0.331), Ho at (0.112, 0.500, 0.671), Er at (0.000, 0.500, 0.000) and Tm at (0.168, 0.000, 0.000).

***

[3]
The following is a PBE calculation of PrHoEr4Tm2 after structural relaxation, from Alexandria.

As for the total energy: -4.12 eV/atom. As for the crystal system: monoclinic. As for the energy relative to the elements: 0.4445 eV/atom. For the mass density, the calculation gives 8.37 g/cm3.

The structure belongs to space group C2/c (No. 15); the cell edges are 13.498, 13.208 and 6.741 Å and the angles 90.00°, 119.96° and 90.00°. The inequivalent atoms are Pr at (0.250, 0.250, 0.000), Ho at (0.000, 0.000, 0.000), Er at (0.000, 0.251, 0.002), Er at (0.249, 0.497, 0.497), Tm at (0.000, 0.500, 0.000) and Tm at (0.250, 0.250, 0.500).

***

[4]
The following is a PBE calculation of Pr4Ho2ErTm after structural relaxation, from Alexandria.

As for the total energy: -4.65 eV/atom. As for the crystal system: orthorhombic. As for the energy relative to the elements: 0.0181 eV/atom. For the mass density, the calculation gives 7.67 g/cm3.

The structure belongs to space group Pmmm (No. 47); the cell edges are 5.154, 5.175 and 9.978 Å and the angles 90.00°, 90.00° and 90.00°. The inequivalent atoms are Pr at (0.000, 0.000, 0.249), Pr at (0.500, 0.500, 0.250), Ho at (0.000, 0.500, 0.000), Ho at (0.500, 0.000, 0.500), Er at (0.000, 0.500, 0.500) and Tm at (0.500, 0.000, 0.000).

***

[5]
The following is a PBE calculation of Pr2HoErTm4 after structural relaxation, from Alexandria.

As for the total energy: -4.14 eV/atom. As for the crystal system: orthorhombic. As for the energy relative to the elements: 0.4302 eV/atom. For the mass density, the calculation gives 8.12 g/cm3.

The structure belongs to space group Imma (No. 74); the cell edges are 6.778, 11.772 and 13.222 Å and the angles 90.00°, 90.00° and 90.00°. The inequivalent atoms are Pr at (0.000, 0.000, 0.000), Pr at (0.250, 0.250, 0.250), Ho at (0.250, 0.250, 0.750), Er at (0.000, 0.000, 0.500), Tm at (0.000, 0.004, 0.748) and Tm at (0.249, 0.250, 0.504).

***

[6]
The following is a PBE calculation of Pr2Ho6ErTm after structural relaxation, from Alexandria.

As for the total energy: -4.49 eV/atom. As for the crystal system: monoclinic. As for the energy relative to the elements: 0.1174 eV/atom. For the mass density, the calculation gives 8.29 g/cm3.

The structure belongs to space group C2/c (No. 15); the cell edges are 8.990, 14.987 and 9.682 Å and the angles 90.00°, 99.22° and 90.00°. The inequivalent atoms are Pr at (0.245, 0.052, 0.043), Ho at (0.065, 0.191, 0.442), Ho at (0.102, 0.395, 0.619), Ho at (0.201, 0.222, 0.812), Er at (0.000, 0.017, 0.750) and Tm at (0.000, 0.406, 0.250).

***

[7]
The following is a PBE calculation of Pr2Ho2Er2Tm after structural relaxation, from Alexandria.

As for the total energy: -4.53 eV/atom. As for the crystal system: monoclinic. As for the energy relative to the elements: 0.0863 eV/atom. For the mass density, the calculation gives 8.09 g/cm3.

The structure belongs to space group C2/m (No. 12); the cell edges are 11.704, 3.508 and 11.804 Å and the angles 90.00°, 109.10° and 90.00°. The inequivalent atoms are Pr at (0.172, 0.000, 0.086), Ho at (0.049, 0.000, 0.767), Er at (0.228, 0.500, 0.366) and Tm at (0.000, 0.500, 0.500).

***

[8]
The following is a PBE calculation of PrHo2ErTm after structural relaxation, from Alexandria.

As for the total energy: -4.21 eV/atom. As for the crystal system: orthorhombic. As for the energy relative to the elements: 0.3803 eV/atom. For the mass density, the calculation gives 7.79 g/cm3.

The structure belongs to space group Cmcm (No. 63); the cell edges are 8.359, 11.438 and 7.193 Å and the angles 90.00°, 90.00° and 90.00°. The inequivalent atoms are Pr at (0.000, 0.230, 0.250), Ho at (0.191, 0.000, 0.000), Er at (0.000, 0.497, 0.750) and Tm at (0.000, 0.219, 0.750).